Computed, not measured: a relaxed Ac5Cu2Pb5 crystal at the PBE level of DFT.

Space group = C2/m, No. 12
E_tot = -4.374 eV per atom
Energy of formation = -0.4341 eV per atom

```
Ac5Cu2Pb5
1.0
8.6581 -2.4021 0.0000
8.6581 2.4021 0.0000
-8.1343 0.0000 9.5439
Ac Cu Pb
5 2 5
direct
0.0000 0.0000 0.0000 Ac
0.1110 0.1110 0.4189 Ac
0.1980 0.1980 0.8242 Ac
0.8020 0.8020 0.1758 Ac
0.8890 0.8890 0.5811 Ac
0.3580 0.3580 0.7494 Cu
0.6420 0.6420 0.2506 Cu
0.2494 0.2494 0.3144 Pb
0.4412 0.4412 0.1503 Pb
0.5000 0.5000 0.5000 Pb
0.5588 0.5588 0.8497 Pb
0.7506 0.7506 0.6856 Pb
```

Computed, not measured: a relaxed Ac3Cu2Pb3 crystal at the PBE level of DFT.

Space group = Cmcm, No. 63
E_tot = -4.327 eV per atom
Energy of formation = -0.3718 eV per atom

```
Ac3Cu2Pb3
1.0
2.3837 -6.0943 0.0000
2.3837 6.0943 0.0000
0.0000 0.0000 16.4665
Ac Cu Pb
6 4 6
direct
0.0796 0.9204 0.6090 Ac
0.0796 0.9204 0.8910 Ac
0.3610 0.6390 0.7500 Ac
0.6390 0.3610 0.2500 Ac
0.9204 0.0796 0.1090 Ac
0.9204 0.0796 0.3910 Ac
0.2168 0.7832 0.1037 Cu
0.2168 0.7832 0.3963 Cu
0.7832 0.2168 0.6037 Cu
0.7832 0.2168 0.8963 Cu
0.3448 0.6552 0.2500 Pb
0.3641 0.6359 0.5393 Pb
0.3641 0.6359 0.9607 Pb
0.6359 0.3641 0.0393 Pb
0.6359 0.3641 0.4607 Pb
0.6552 0.3448 0.7500 Pb
```

Computed, not measured: a relaxed Ac4CuPb2 crystal at the PBE level of DFT.

Space group = I4/mmm, No. 139
E_tot = -4.226 eV per atom
Polymorph energy (0 for the lowest one) = 84 meV/atom
Energy of formation = -0.2339 eV per atom

```
Ac4CuPb2
1.0
5.4849 0.0000 0.0000
0.0000 5.4849 0.0000
0.0000 0.0000 18.2423
Ac Cu Pb
8 2 4
direct
0.0000 0.0000 0.1785 Ac
0.0000 0.0000 0.8215 Ac
0.0000 0.5000 0.0000 Ac
0.0000 0.5000 0.5000 Ac
0.5000 0.0000 0.0000 Ac
0.5000 0.0000 0.5000 Ac
0.5000 0.5000 0.3215 Ac
0.5000 0.5000 0.6785 Ac
0.0000 0.0000 0.0000 Cu
0.5000 0.5000 0.5000 Cu
0.0000 0.0000 0.3651 Pb
0.0000 0.0000 0.6349 Pb
0.5000 0.5000 0.1349 Pb
0.5000 0.5000 0.8651 Pb
```

Computed, not measured: a relaxed Ac3CuPb3 crystal at the PBE level of DFT.

Space group = C2/m, No. 12
E_tot = -4.377 eV per atom
Energy of formation = -0.4419 eV per atom

```
Ac3CuPb3
1.0
6.2289 -2.4273 0.0000
6.2289 2.4273 0.0000
-5.4961 0.0000 15.4215
Ac Cu Pb
6 2 6
direct
0.0337 0.0337 0.3880 Ac
0.0933 0.0933 0.9184 Ac
0.2458 0.2458 0.2354 Ac
0.7542 0.7542 0.7646 Ac
0.9067 0.9067 0.0816 Ac
0.9663 0.9663 0.6120 Ac
0.2667 0.2667 0.6090 Cu
0.7333 0.7333 0.3910 Cu
0.3446 0.3446 0.4575 Pb
0.3681 0.3681 0.9229 Pb
0.4649 0.4649 0.7597 Pb
0.5351 0.5351 0.2403 Pb
0.6319 0.6319 0.0771 Pb
0.6554 0.6554 0.5425 Pb
```